[1]
This record from Alexandria describes a PBEsol-optimized structure of AlVO3. The functional is meta-GGA SCAN.

For the uncorrected formation energy, the calculation gives -2929 meV/atom. The total energy comes out at -11.72 eV per atom.

Lattice parameters (Å, degrees): 5.1533 6.8923 4.9534 90.00 90.00 90.00
Last column: nearest neighbours and their distance in Å.
Atoms (fractional coordinates):
Al  0.0000  0.0000  0.0000  6 O 1.86-1.92
Al  0.0000  0.5000  0.0000  6 O 1.86-1.92
Al  0.5000  0.0000  0.5000  6 O 1.86-1.92
Al  0.5000  0.5000  0.5000  6 O 1.86-1.92
V  0.0612  0.2500  0.4931  4 O 1.96-2.00
V  0.4388  0.7500  0.9931  4 O 1.96-2.00
V  0.5612  0.2500  0.0069  4 O 1.96-2.00
V  0.9388  0.7500  0.5069  4 O 1.96-2.00
O  0.0665  0.7500  0.8792  2 Al 1.86, 2 V 1.96-2.00
O  0.1735  0.5574  0.3330  2 Al 1.92, 1 V 1.99
O  0.1735  0.9426  0.3330  2 Al 1.92, 1 V 1.99
O  0.3265  0.0574  0.8330  2 Al 1.92, 1 V 1.99
O  0.3265  0.4426  0.8330  2 Al 1.92, 1 V 1.99
O  0.4335  0.2500  0.3792  2 Al 1.86, 2 V 1.96-2.00
O  0.5665  0.7500  0.6208  2 Al 1.86, 2 V 1.96-2.00
O  0.6735  0.5574  0.1670  2 Al 1.92, 1 V 1.99
O  0.6735  0.9426  0.1670  2 Al 1.92, 1 V 1.99
O  0.8265  0.0574  0.6670  2 Al 1.92, 1 V 1.99
O  0.8265  0.4426  0.6670  2 Al 1.92, 1 V 1.99
O  0.9335  0.2500  0.1208  2 Al 1.86, 2 V 1.96-2.00

***

[2]
This record from Alexandria describes a PBEsol-optimized structure of AlVW2O8. The functional is meta-GGA SCAN.

For the uncorrected formation energy, the calculation gives -2489 meV/atom. The total energy comes out at -20.36 eV per atom.

Lattice parameters (Å, degrees): 4.9161 5.4415 10.1944 90.00 116.79 90.00
Last column: nearest neighbours and their distance in Å.
Atoms (fractional coordinates):
Al  0.0000  0.1297  0.2500  6 O 1.85-1.93
Al  0.0000  0.8703  0.7500  6 O 1.85-1.93
V  0.5000  0.1372  0.7500  6 O 1.93-2.00
V  0.5000  0.8628  0.2500  6 O 1.93-2.00
W  0.2818  0.3622  0.0062  6 O 1.89-2.11
W  0.2818  0.6378  0.5062  6 O 1.89-2.11
W  0.7182  0.3622  0.4938  6 O 1.89-2.11
W  0.7182  0.6378  0.9938  6 O 1.89-2.11
O  0.1973  0.3759  0.6115  2 W 1.94-2.11, 1 V 2.00
O  0.1973  0.6241  0.1115  2 W 1.94-2.11, 1 V 2.00
O  0.2230  0.1194  0.1367  1 Al 1.92, 1 V 1.93, 1 W 1.99
O  0.2230  0.8806  0.6367  1 Al 1.92, 1 V 1.93, 1 W 1.99
O  0.2696  0.1302  0.8656  1 W 1.89, 1 Al 1.93, 1 V 1.97
O  0.2696  0.8698  0.3656  1 W 1.89, 1 Al 1.93, 1 V 1.97
O  0.2783  0.3580  0.3708  1 Al 1.85, 2 W 1.95-2.05
O  0.2783  0.6420  0.8708  1 Al 1.85, 2 W 1.95-2.05
O  0.7217  0.3580  0.1292  1 Al 1.85, 2 W 1.95-2.05
O  0.7217  0.6420  0.6292  1 Al 1.85, 2 W 1.95-2.05
O  0.7304  0.1302  0.6344  1 W 1.89, 1 Al 1.93, 1 V 1.97
O  0.7304  0.8698  0.1344  1 W 1.89, 1 Al 1.93, 1 V 1.97
O  0.7770  0.1194  0.3633  1 Al 1.92, 1 V 1.93, 1 W 1.99
O  0.7770  0.8806  0.8633  1 Al 1.92, 1 V 1.93, 1 W 1.99
O  0.8027  0.3759  0.8885  2 W 1.94-2.11, 1 V 2.00
O  0.8027  0.6241  0.3885  2 W 1.94-2.11, 1 V 2.00

***

[3]
This record from Alexandria describes a PBEsol-optimized structure of AlWO2. The functional is meta-GGA SCAN.

For the uncorrected formation energy, the calculation gives -1214 meV/atom. The total energy comes out at -23.69 eV per atom.

Lattice parameters (Å, degrees): 5.3772 5.3772 5.3772 128.88 128.88 75.20
Last column: nearest neighbours and their distance in Å.
Atoms (fractional coordinates):
Al  0.0000  0.0000  0.0000  4 O 1.77
Al  0.7500  0.2500  0.5000  4 O 1.77
W  0.2500  0.7500  0.5000  4 O 2.18
W  0.5000  0.5000  0.0000  4 O 2.18
O  0.0512  0.6250  0.9262  2 Al 1.77
O  0.3750  0.3012  0.4262  2 Al 1.77
O  0.6988  0.1250  0.0738  2 Al 1.77
O  0.8750  0.9488  0.5738  2 Al 1.77

***

[4]
This record from Alexandria describes a PBEsol-optimized structure of Al2W3O12. The functional is meta-GGA SCAN.

For the uncorrected formation energy, the calculation gives -2560 meV/atom. The total energy comes out at -20.17 eV per atom.

Lattice parameters (Å, degrees): 9.1027 9.1929 15.6023 90.00 125.66 90.00
Last column: nearest neighbours and their distance in Å.
Atoms (fractional coordinates):
Al  0.1308  0.0334  0.3809  6 O 1.86-1.91
Al  0.1308  0.4666  0.8809  6 O 1.86-1.91
Al  0.3689  0.0335  0.1192  6 O 1.86-1.91
Al  0.3689  0.4665  0.6192  6 O 1.86-1.91
Al  0.6311  0.5335  0.3808  6 O 1.86-1.91
Al  0.6311  0.9665  0.8808  6 O 1.86-1.91
Al  0.8692  0.5334  0.1191  6 O 1.86-1.91
Al  0.8692  0.9666  0.6191  6 O 1.86-1.91
W  0.0245  0.7505  0.0004  4 O 1.78-1.79
W  0.0245  0.7495  0.5004  4 O 1.78-1.79
W  0.2512  0.1185  0.8555  4 O 1.78-1.80
W  0.2512  0.3815  0.3555  4 O 1.78-1.80
W  0.4598  0.6182  0.8556  4 O 1.78-1.80
W  0.4598  0.8818  0.3556  4 O 1.78-1.80
W  0.5402  0.1182  0.6444  4 O 1.78-1.80
W  0.5402  0.3818  0.1444  4 O 1.78-1.80
W  0.7488  0.6185  0.6445  4 O 1.78-1.80
W  0.7488  0.8815  0.1445  4 O 1.78-1.80
W  0.9755  0.2495  0.9996  4 O 1.78-1.79
W  0.9755  0.2505  0.4996  4 O 1.78-1.79
O  0.0062  0.6631  0.0963  1 W 1.79, 1 Al 1.90
O  0.0062  0.8369  0.5963  1 W 1.79, 1 Al 1.90
O  0.0694  0.6183  0.9347  1 W 1.78, 1 Al 1.87
O  0.0694  0.8817  0.4347  1 W 1.78, 1 Al 1.87
O  0.0709  0.0084  0.7550  1 W 1.78, 1 Al 1.86
O  0.0709  0.4916  0.2550  1 W 1.78, 1 Al 1.86
O  0.1845  0.1617  0.0949  1 W 1.78, 1 Al 1.90
O  0.1845  0.3383  0.5949  1 W 1.78, 1 Al 1.90
O  0.1945  0.1918  0.3315  1 W 1.80, 1 Al 1.89
O  0.1945  0.3082  0.8315  1 W 1.80, 1 Al 1.89
O  0.2023  0.6196  0.5654  1 W 1.78, 1 Al 1.87
O  0.2023  0.8804  0.0654  1 W 1.78, 1 Al 1.87
O  0.2723  0.5924  0.8619  1 W 1.78, 1 Al 1.88
O  0.2723  0.9076  0.3619  1 W 1.78, 1 Al 1.88
O  0.2968  0.0711  0.9793  1 W 1.78, 1 Al 1.91
O  0.2968  0.4289  0.4793  1 W 1.78, 1 Al 1.91
O  0.3368  0.0722  0.5211  1 W 1.78, 1 Al 1.91
O  0.3368  0.4278  0.0211  1 W 1.78, 1 Al 1.91
O  0.4369  0.5073  0.7548  1 W 1.78, 1 Al 1.86
O  0.4369  0.9927  0.2548  1 W 1.78, 1 Al 1.86
O  0.4494  0.0903  0.8600  1 W 1.78, 1 Al 1.87
O  0.4494  0.4097  0.3600  1 W 1.78, 1 Al 1.87
O  0.4696  0.6925  0.3310  1 W 1.80, 1 Al 1.89
O  0.4696  0.8075  0.8310  1 W 1.80, 1 Al 1.89
O  0.5304  0.1925  0.1690  1 W 1.80, 1 Al 1.89
O  0.5304  0.3075  0.6690  1 W 1.80, 1 Al 1.89
O  0.5506  0.5903  0.6400  1 W 1.78, 1 Al 1.87
O  0.5506  0.9097  0.1400  1 W 1.78, 1 Al 1.87
O  0.5631  0.0073  0.7452  1 W 1.78, 1 Al 1.86
O  0.5631  0.4927  0.2452  1 W 1.78, 1 Al 1.86
O  0.6632  0.5722  0.9789  1 W 1.78, 1 Al 1.91
O  0.6632  0.9278  0.4789  1 W 1.78, 1 Al 1.91
O  0.7032  0.5711  0.5207  1 W 1.78, 1 Al 1.91
O  0.7032  0.9289  0.0207  1 W 1.78, 1 Al 1.91
O  0.7277  0.0924  0.6381  1 W 1.78, 1 Al 1.88
O  0.7277  0.4076  0.1381  1 W 1.78, 1 Al 1.88
O  0.7977  0.1196  0.9346  1 W 1.78, 1 Al 1.87
O  0.7977  0.3804  0.4346  1 W 1.78, 1 Al 1.87
O  0.8055  0.6918  0.1685  1 W 1.80, 1 Al 1.89
O  0.8055  0.8082  0.6685  1 W 1.80, 1 Al 1.89
O  0.8155  0.6617  0.4051  1 W 1.78, 1 Al 1.90
O  0.8155  0.8383  0.9051  1 W 1.78, 1 Al 1.90
O  0.9291  0.5084  0.7450  1 W 1.78, 1 Al 1.86
O  0.9291  0.9916  0.2450  1 W 1.78, 1 Al 1.86
O  0.9306  0.1183  0.5653  1 W 1.78, 1 Al 1.87
O  0.9306  0.3817  0.0653  1 W 1.78, 1 Al 1.87
O  0.9938  0.1631  0.4037  1 W 1.79, 1 Al 1.90
O  0.9938  0.3369  0.9037  1 W 1.79, 1 Al 1.90

***

[5]
This record from Alexandria describes a PBEsol-optimized structure of AlZnW2O. The functional is meta-GGA SCAN.

For the uncorrected formation energy, the calculation gives 2349 meV/atom. The total energy comes out at -31.03 eV per atom.

Lattice parameters (Å, degrees): 4.5745 4.5745 4.2391 90.00 90.00 90.00
Last column: nearest neighbours and their distance in Å.
Atoms (fractional coordinates):
Al  0.0000  0.0000  0.0000  2 Zn 2.12, 4 W 2.29
Zn  0.0000  0.0000  0.5000  2 Al 2.12
W  0.0000  0.5000  0.0000  2 Al 2.29
W  0.5000  0.0000  0.0000  2 Al 2.29
O  0.5000  0.5000  0.5000  8 W 3.12, 4 Zn 3.23

***

[6]
This record from Alexandria describes a PBEsol-optimized structure of Y4Al2O9. The functional is meta-GGA SCAN.

For the uncorrected formation energy, the calculation gives -3759 meV/atom. The total energy comes out at -15.96 eV per atom.

Lattice parameters (Å, degrees): 7.3253 10.4296 11.1035 90.00 108.40 90.00
Last column: nearest neighbours and their distance in Å.
Atoms (fractional coordinates):
Y  0.0227  0.0964  0.3055  6 O 2.19-2.34
Y  0.0227  0.4036  0.8055  6 O 2.19-2.34
Y  0.1631  0.6200  0.5861  6 O 2.23-2.35
Y  0.1631  0.8800  0.0861  6 O 2.23-2.35
Y  0.3395  0.1265  0.9379  5 O 2.24-2.32
Y  0.3395  0.3735  0.4379  5 O 2.24-2.32
Y  0.4769  0.6110  0.2162  7 O 2.23-2.49
Y  0.4769  0.8890  0.7162  7 O 2.23-2.49
Y  0.5231  0.1110  0.2838  7 O 2.23-2.49
Y  0.5231  0.3890  0.7838  7 O 2.23-2.49
Y  0.6605  0.6265  0.5621  5 O 2.24-2.32
Y  0.6605  0.8735  0.0621  5 O 2.24-2.32
Y  0.8369  0.1200  0.9139  6 O 2.23-2.35
Y  0.8369  0.3800  0.4139  6 O 2.23-2.35
Y  0.9773  0.5964  0.1945  6 O 2.19-2.34
Y  0.9773  0.9036  0.6945  6 O 2.19-2.34
Al  0.2154  0.1791  0.6269  4 O 1.74-1.77
Al  0.2154  0.3209  0.1269  4 O 1.74-1.77
Al  0.3453  0.6768  0.8872  4 O 1.75-1.76
Al  0.3453  0.8232  0.3872  4 O 1.75-1.76
Al  0.6547  0.1768  0.6128  4 O 1.75-1.76
Al  0.6547  0.3232  0.1128  4 O 1.75-1.76
Al  0.7846  0.6791  0.8731  4 O 1.74-1.77
Al  0.7846  0.8209  0.3731  4 O 1.74-1.77
O  0.0716  0.2348  0.4790  1 Al 1.75
O  0.0716  0.2652  0.9790  1 Al 1.75
O  0.0783  0.5066  0.3937  4 Y 2.27-2.35
O  0.0783  0.9934  0.8937  4 Y 2.27-2.35
O  0.2105  0.7371  0.2526  1 Al 1.76
O  0.2105  0.7629  0.7526  1 Al 1.76
O  0.2119  0.0151  0.6534  1 Al 1.74
O  0.2119  0.4849  0.1534  1 Al 1.74
O  0.2312  0.2392  0.2693  1 Al 1.77
O  0.2312  0.2608  0.7693  1 Al 1.77
O  0.3033  0.5168  0.8378  1 Al 1.75
O  0.3033  0.9832  0.3378  1 Al 1.75
O  0.3629  0.7314  0.0399  1 Al 1.75
O  0.3629  0.7686  0.5399  1 Al 1.75
O  0.4327  0.2406  0.6148  2 Al 1.76
O  0.4327  0.2594  0.1148  2 Al 1.76
O  0.4360  0.5075  0.6077  4 Y 2.23-2.27
O  0.4360  0.9925  0.1077  4 Y 2.23-2.27
O  0.5640  0.0075  0.8923  4 Y 2.23-2.27
O  0.5640  0.4925  0.3923  4 Y 2.23-2.27
O  0.5673  0.7406  0.8852  2 Al 1.76
O  0.5673  0.7594  0.3852  2 Al 1.76
O  0.6371  0.2314  0.4601  1 Al 1.75
O  0.6371  0.2686  0.9601  1 Al 1.75
O  0.6967  0.0168  0.6622  1 Al 1.75
O  0.6967  0.4832  0.1622  1 Al 1.75
O  0.7688  0.7392  0.2307  1 Al 1.77
O  0.7688  0.7608  0.7307  1 Al 1.77
O  0.7881  0.5151  0.8466  1 Al 1.74
O  0.7881  0.9849  0.3466  1 Al 1.74
O  0.7895  0.2371  0.2474  1 Al 1.76
O  0.7895  0.2629  0.7474  1 Al 1.76
O  0.9217  0.0066  0.1063  4 Y 2.27-2.35
O  0.9217  0.4934  0.6063  4 Y 2.27-2.35
O  0.9284  0.7348  0.0210  1 Al 1.75
O  0.9284  0.7652  0.5210  1 Al 1.75

***

- The highest uncorrected formation energy belongs to which entry?
  AlZnW2O

***

- What is the formula in the first record?
  AlVO3